Entry 1:
A relaxed SrTm5Pb6 crystal, computed with GGA-PBE.

Summary:
The total energy comes out at -0.311 Ry/atom. Its symmetry is P2/m, No. 10. For the energy relative to the elements, the calculation gives -371 meV/atom. The value obtained for the calculated density is 10.535 Mg/m³. The spin magnetization is 0.31 μB/cell.

a b c (Å): 5.085 8.948 7.951
angles (deg): 90.00 108.58 90.00
Sites, in units of the cell vectors:
Sr  0.000  0.000  0.000
Tm  0.000  0.500  0.000
Tm  0.327  0.000  0.655
Tm  0.334  0.500  0.670
Tm  0.666  0.500  0.330
Tm  0.673  0.000  0.345
Pb  0.170  0.256  0.339
Pb  0.170  0.744  0.339
Pb  0.500  0.256  0.000
Pb  0.500  0.744  0.000
Pb  0.830  0.256  0.661
Pb  0.830  0.744  0.661

=====

Entry 2:
A relaxed Ca6Tl2Rh crystal, computed with GGA-PBE.

Summary:
The total energy comes out at -0.224 Ry/atom. Its symmetry is P-62m, No. 189. For the energy relative to the elements, the calculation gives -375 meV/atom. The value obtained for the calculated density is 4.547 Mg/m³. The spin magnetization is 0.00 μB/cell.

a b c (Å): 8.771 8.771 4.122
angles (deg): 90.00 90.00 120.00
Sites, in units of the cell vectors:
Ca  0.000  0.403  0.000
Ca  0.000  0.763  0.500
Ca  0.237  0.237  0.500
Ca  0.403  0.000  0.000
Ca  0.597  0.597  0.000
Ca  0.763  0.000  0.500
Tl  0.333  0.667  0.500
Tl  0.667  0.333  0.500
Rh  0.000  0.000  0.000

=====

Entry 3:
A relaxed Mn3CdPt12 crystal, computed with GGA-PBE.

Summary:
The total energy comes out at -0.487 Ry/atom. Its symmetry is P4/mmm, No. 123. For the energy relative to the elements, the calculation gives -320 meV/atom. The value obtained for the calculated density is 17.539 Mg/m³. The spin magnetization is 12.66 μB/cell.

a b c (Å): 3.951 3.951 15.877
angles (deg): 90.00 90.00 90.00
Sites, in units of the cell vectors:
Mn  0.000  0.000  0.000
Mn  0.000  0.000  0.247
Mn  0.000  0.000  0.753
Cd  0.000  0.000  0.500
Pt  0.000  0.500  0.123
Pt  0.000  0.500  0.368
Pt  0.000  0.500  0.632
Pt  0.000  0.500  0.877
Pt  0.500  0.000  0.123
Pt  0.500  0.000  0.368
Pt  0.500  0.000  0.632
Pt  0.500  0.000  0.877
Pt  0.500  0.500  0.000
Pt  0.500  0.500  0.246
Pt  0.500  0.500  0.500
Pt  0.500  0.500  0.754

=====

Entry 4:
A relaxed W2SeBr crystal, computed with GGA-PBE.

Summary:
The total energy comes out at -0.513 Ry/atom. The calculation puts the raw formation energy at 0.790 eV/atom. Its symmetry is R-3m, No. 166. The value obtained for the calculated density is 12.895 Mg/m³. The spin magnetization is 0.00 μB/cell. The calculation puts the distance to the lowest polymorph of the same formula at 648.9 meV per atom.

a b c (Å): 8.576 8.576 8.576
angles (deg): 20.52 20.52 20.52
Sites, in units of the cell vectors:
W  0.245  0.245  0.245
W  0.755  0.755  0.755
Se  0.500  0.500  0.500
Br  0.000  0.000  0.000

=====

Entry 5:
A relaxed OsRh2Au crystal, computed with GGA-PBE.

Summary:
The total energy comes out at -0.520 Ry/atom. Its symmetry is R3m, No. 160. For the energy relative to the elements, the calculation gives 233 meV/atom. The value obtained for the calculated density is 16.228 Mg/m³. The spin magnetization is 0.55 μB/cell. The calculation puts the distance to the lowest polymorph of the same formula at 167.2 meV per atom.

a b c (Å): 9.284 9.284 9.284
angles (deg): 17.15 17.15 17.15
Sites, in units of the cell vectors:
Os  0.000  0.000  0.000
Rh  0.257  0.257  0.257
Rh  0.509  0.509  0.509
Au  0.755  0.755  0.755

=====

Entry 6:
A relaxed Ce8HC3Cl4 crystal, computed with GGA-PBE.

Summary:
The total energy comes out at -0.463 Ry/atom. Its symmetry is R-3m, No. 166. The value obtained for the calculated density is 6.509 Mg/m³. The spin magnetization is 6.05 μB/cell.

a b c (Å): 8.217 8.217 8.217
angles (deg): 53.39 53.39 53.39
Sites, in units of the cell vectors:
Ce  0.224  0.737  0.737
Ce  0.232  0.232  0.232
Ce  0.263  0.263  0.776
Ce  0.263  0.776  0.263
Ce  0.737  0.224  0.737
Ce  0.737  0.737  0.224
Ce  0.768  0.768  0.768
Ce  0.776  0.263  0.263
H  0.500  0.500  0.500
C  0.000  0.000  0.500
C  0.000  0.500  0.000
C  0.500  0.000  0.000
Cl  0.000  0.000  0.000
Cl  0.000  0.500  0.500
Cl  0.500  0.000  0.500
Cl  0.500  0.500  0.000

=====

Entry 7:
A relaxed CrS3I crystal, computed with GGA-PBE.

Summary:
The total energy comes out at -0.327 Ry/atom. The calculation puts the raw formation energy at 0.257 eV/atom. Its symmetry is Pm-3m, No. 221. The value obtained for the calculated density is 4.843 Mg/m³. The spin magnetization is 0.00 μB/cell. The calculation puts the distance to the lowest polymorph of the same formula at 0.0 meV per atom.

a b c (Å): 4.552 4.552 4.552
angles (deg): 90.00 90.00 90.00
Sites, in units of the cell vectors:
Cr  0.000  0.000  0.000
S  0.000  0.000  0.500
S  0.000  0.500  0.000
S  0.500  0.000  0.000
I  0.500  0.500  0.500

=====

Entry 8:
A relaxed HfBeNiRh crystal, computed with GGA-PBE.

Summary:
The total energy comes out at -0.530 Ry/atom. Its symmetry is F-43m, No. 216. For the energy relative to the elements, the calculation gives -511 meV/atom. The value obtained for the calculated density is 10.494 Mg/m³. The spin magnetization is 0.00 μB/cell.

a b c (Å): 4.275 4.275 4.275
angles (deg): 60.00 60.00 60.00
Sites, in units of the cell vectors:
Hf  0.000  0.000  0.000
Be  0.500  0.500  0.500
Ni  0.750  0.750  0.750
Rh  0.250  0.250  0.250

=====

Which of these has the highest calculated density? Mn3CdPt12

=====

What is the formula in the sixth record? Ce8HC3Cl4

=====

Among the records above, which one has the highest spin magnetization? Mn3CdPt12